Material: LiTmMg3
Method: DFT, GGA-PBE
State: relaxed

```
data_LiTmMg3
_cell_length_a 17.542
_cell_length_b 5.037
_cell_length_c 5.386
_cell_angle_alpha 90.00
_cell_angle_beta 95.37
_cell_angle_gamma 90.00
_symmetry_space_group_name_H-M 'C 1 2/m 1'
_symmetry_Int_Tables_number 12
loop_
_symmetry_equiv_pos_as_xyz
'x,y,z'
'-x,-y,-z'
'-x,y,-z'
'x,-y,z'
'x+1/2,y+1/2,z'
'-x+1/2,-y+1/2,-z'
'-x+1/2,y+1/2,-z'
'x+1/2,-y+1/2,z'
loop_
_atom_site_label
_atom_site_type_symbol
_atom_site_fract_x
_atom_site_fract_y
_atom_site_fract_z
_atom_site_occupancy
Li1 Li 0.170 0.000 0.161 1
Tm1 Tm 0.061 0.500 0.280 1
Mg1 Mg 0.056 0.000 0.741 1
Mg2 Mg 0.158 0.500 0.817 1
Mg3 Mg 0.245 0.000 0.665 1
```

The value obtained for the formation energy is 0.1 eV per formula unit. Its crystal system is monoclinic. The total magnetic moment is 0.00 μB/cell.

=====

Material: KLiSiB2
Method: DFT, GGA-PBE
State: relaxed

```
data_KLiSiB2
_cell_length_a 4.116
_cell_length_b 4.116
_cell_length_c 4.840
_cell_angle_alpha 90.00
_cell_angle_beta 90.00
_cell_angle_gamma 90.00
_symmetry_space_group_name_H-M 'P 4/m m m'
_symmetry_Int_Tables_number 123
_symmetry_space_group_name_Hall '-P 4 2'
loop_
_atom_site_label
_atom_site_type_symbol
_atom_site_fract_x
_atom_site_fract_y
_atom_site_fract_z
_atom_site_occupancy
K1 K 0.000 0.000 0.000 1
Li1 Li 0.500 0.500 0.000 1
Si1 Si 0.500 0.500 0.500 1
B1 B 0.000 0.500 0.500 1
```

As for the uncorrected formation energy: 0.89 eV per atom. Its crystal system is tetragonal. The total magnetic moment is 0.00 μB/cell.

=====

DOS at the Fermi energy per entry: 11.57, 2.30 states/eV per cell